Entry 1:
SrCaAs2 | GGA-PBE | relaxed

Properties
Spin magnetization: 0.000 μB/f.u.
ρ: 4.2 Mg/m³
V: 27.4 Å³/atom
Space group: Imm2
DFT formation energy: -0.77 eV per atom

```
data_SrCaAs2
_cell_length_a 6.7361
_cell_length_b 6.7361
_cell_length_c 6.7361
_cell_angle_alpha 144.86
_cell_angle_beta 141.15
_cell_angle_gamma 53.38
_space_group_name_H-M_alt 'P 1'
_space_group_IT_number 1
_space_group_name_Hall 'P 1'
loop_
_atom_site_label
_atom_site_type_symbol
_atom_site_fract_x
_atom_site_fract_y
_atom_site_fract_z
Sr1 Sr 0.0000 0.0000 0.0000
Ca1 Ca 0.2525 0.7525 0.5000
As1 As 0.5648 0.5648 0.0000
As2 As 0.7567 0.2567 0.5000
```


Entry 2:
Cs12In | GGA-PBE | relaxed

Properties
Spin magnetization: 0.021 μB/f.u.
ρ: 2.2 Mg/m³
V: 100.3 Å³/atom
Space group: Im-3
DFT formation energy: 0.05 eV per atom

```
data_Cs12In
_cell_length_a 11.9222
_cell_length_b 11.9222
_cell_length_c 11.9222
_cell_angle_alpha 109.47
_cell_angle_beta 109.47
_cell_angle_gamma 109.47
_space_group_name_H-M_alt 'P 1'
_space_group_IT_number 1
_space_group_name_Hall 'P 1'
loop_
_atom_site_label
_atom_site_type_symbol
_atom_site_fract_x
_atom_site_fract_y
_atom_site_fract_z
Cs1 Cs 0.1281 0.8282 0.2999
Cs2 Cs 0.1718 0.2999 0.4717
Cs3 Cs 0.1718 0.7001 0.8719
Cs4 Cs 0.2999 0.1281 0.8282
Cs5 Cs 0.2999 0.4717 0.1718
Cs6 Cs 0.4717 0.1718 0.2999
Cs7 Cs 0.5283 0.8282 0.7001
Cs8 Cs 0.7001 0.5283 0.8282
Cs9 Cs 0.7001 0.8719 0.1718
Cs10 Cs 0.8282 0.2999 0.1281
Cs11 Cs 0.8282 0.7001 0.5283
Cs12 Cs 0.8719 0.1718 0.7001
In1 In 0.0000 0.0000 0.0000
```


Entry 3:
GaPd5Au | GGA-PBE | relaxed

Properties
Spin magnetization: 0.000 μB/f.u.
ρ: 11.1 Mg/m³
V: 17.0 Å³/atom
Space group: Cmmm
DFT formation energy: -0.18 eV per atom

```
data_GaPd5Au
_cell_length_a 4.6543
_cell_length_b 4.6543
_cell_length_c 5.6994
_cell_angle_alpha 90.00
_cell_angle_beta 90.00
_cell_angle_gamma 105.29
_space_group_name_H-M_alt 'P 1'
_space_group_IT_number 1
_space_group_name_Hall 'P 1'
loop_
_atom_site_label
_atom_site_type_symbol
_atom_site_fract_x
_atom_site_fract_y
_atom_site_fract_z
Ga1 Ga 0.0000 0.0000 0.0000
Pd1 Pd 0.0000 0.5000 0.2477
Pd2 Pd 0.0000 0.5000 0.7523
Pd3 Pd 0.5000 0.0000 0.2477
Pd4 Pd 0.5000 0.0000 0.7523
Pd5 Pd 0.5000 0.5000 0.0000
Au1 Au 0.5000 0.5000 0.5000
```


Entry 4:
Si2TeSe | GGA-PBE | relaxed

Properties
Spin magnetization: 0.000 μB/f.u.
ρ: 5.0 Mg/m³
V: 22.0 Å³/atom
Total DFT energy (no corrections): -3.885 eV per atom
Space group: Immm

```
data_Si2TeSe
_cell_length_a 5.1544
_cell_length_b 5.1544
_cell_length_c 5.1544
_cell_angle_alpha 133.95
_cell_angle_beta 110.84
_cell_angle_gamma 87.15
_space_group_name_H-M_alt 'P 1'
_space_group_IT_number 1
_space_group_name_Hall 'P 1'
loop_
_atom_site_label
_atom_site_type_symbol
_atom_site_fract_x
_atom_site_fract_y
_atom_site_fract_z
Si1 Si 0.2242 0.2242 0.0000
Si2 Si 0.7758 0.7758 0.0000
Te1 Te 0.5000 0.0000 0.5000
Se1 Se 0.0000 0.5000 0.5000
```


Entry 5:
TmAlPd2 | GGA-PBE | relaxed

Properties
Spin magnetization: 0.000 μB/f.u.
ρ: 9.6 Mg/m³
V: 17.7 Å³/atom
Space group: P4/mmm
DFT formation energy: -0.85 eV per atom

```
data_TmAlPd2
_cell_length_a 3.3170
_cell_length_b 3.3170
_cell_length_c 6.4381
_cell_angle_alpha 90.00
_cell_angle_beta 90.00
_cell_angle_gamma 90.00
_space_group_name_H-M_alt 'P 1'
_space_group_IT_number 1
_space_group_name_Hall 'P 1'
loop_
_atom_site_label
_atom_site_type_symbol
_atom_site_fract_x
_atom_site_fract_y
_atom_site_fract_z
Tm1 Tm 0.0000 0.0000 0.0000
Al1 Al 0.0000 0.0000 0.5000
Pd1 Pd 0.5000 0.5000 0.2813
Pd2 Pd 0.5000 0.5000 0.7187
```


Entry 6:
CrInTeI2 | GGA-PBE | relaxed

Properties
Spin magnetization: 3.010 μB/f.u.
ρ: 5.3 Mg/m³
V: 34.4 Å³/atom
Total DFT energy (no corrections): -3.813 eV per atom
Space group: P4/mmm

```
data_CrInTeI2
_cell_length_a 5.7203
_cell_length_b 5.7203
_cell_length_c 5.2619
_cell_angle_alpha 90.00
_cell_angle_beta 90.00
_cell_angle_gamma 90.00
_space_group_name_H-M_alt 'P 1'
_space_group_IT_number 1
_space_group_name_Hall 'P 1'
loop_
_atom_site_label
_atom_site_type_symbol
_atom_site_fract_x
_atom_site_fract_y
_atom_site_fract_z
Cr1 Cr 0.0000 0.0000 0.0000
In1 In 0.5000 0.5000 0.5000
Te1 Te 0.0000 0.0000 0.5000
I1 I 0.0000 0.5000 0.0000
I2 I 0.5000 0.0000 0.0000
```


Entry 7:
CsPu2CuSe4 | GGA-PBE | relaxed

Properties
Spin magnetization: 10.000 μB/f.u.
ρ: 7.4 Mg/m³
V: 28.2 Å³/atom
Total DFT energy (no corrections): -7.194 eV per atom
Space group: Cmcm

```
data_CsPu2CuSe4
_cell_length_a 7.6831
_cell_length_b 7.6831
_cell_length_c 14.4935
_cell_angle_alpha 90.00
_cell_angle_beta 90.00
_cell_angle_gamma 148.15
_space_group_name_H-M_alt 'P 1'
_space_group_IT_number 1
_space_group_name_Hall 'P 1'
loop_
_atom_site_label
_atom_site_type_symbol
_atom_site_fract_x
_atom_site_fract_y
_atom_site_fract_z
Cs1 Cs 0.1059 0.8941 0.7500
Cs2 Cs 0.8941 0.1059 0.2500
Pu1 Pu 0.3668 0.6332 0.5590
Pu2 Pu 0.3668 0.6332 0.9410
Pu3 Pu 0.6332 0.3668 0.0590
Pu4 Pu 0.6332 0.3668 0.4410
Cu1 Cu 0.1667 0.8333 0.2500
Cu2 Cu 0.8333 0.1667 0.7500
Se1 Se 0.0000 0.0000 0.0000
Se2 Se 0.0000 0.0000 0.5000
Se3 Se 0.2573 0.7427 0.1073
Se4 Se 0.2573 0.7427 0.3927
Se5 Se 0.4196 0.5804 0.7500
Se6 Se 0.5804 0.4196 0.2500
Se7 Se 0.7427 0.2573 0.6073
Se8 Se 0.7427 0.2573 0.8927
```


Entry 8:
Mg2Ru2O7 | GGA-PBE | relaxed

Properties
Spin magnetization: 0.000 μB/f.u.
ρ: 5.0 Mg/m³
V: 10.9 Å³/atom
Total DFT energy (no corrections): -6.422 eV per atom
Space group: C2/m

```
data_Mg2Ru2O7
_cell_length_a 4.8751
_cell_length_b 4.8751
_cell_length_c 5.0355
_cell_angle_alpha 90.08
_cell_angle_beta 90.08
_cell_angle_gamma 87.41
_space_group_name_H-M_alt 'P 1'
_space_group_IT_number 1
_space_group_name_Hall 'P 1'
loop_
_atom_site_label
_atom_site_type_symbol
_atom_site_fract_x
_atom_site_fract_y
_atom_site_fract_z
Mg1 Mg 0.2274 0.7726 0.0000
Mg2 Mg 0.7726 0.2274 0.0000
Ru1 Ru 0.2300 0.2300 0.5000
Ru2 Ru 0.7700 0.7700 0.5000
O1 O 0.9998 0.9998 0.2782
O2 O 0.0002 0.0002 0.7218
O3 O 0.9997 0.4998 0.2509
O4 O 0.0003 0.5002 0.7491
O5 O 0.4998 0.9997 0.2509
O6 O 0.5002 0.0003 0.7491
O7 O 0.5000 0.5000 0.5000
```


Entry 9:
Ce2NpN4 | GGA-PBE | relaxed

Properties
Spin magnetization: 3.025 μB/f.u.
ρ: 9.0 Mg/m³
V: 15.1 Å³/atom
Total DFT energy (no corrections): -9.648 eV per atom
Space group: Pbam

```
data_Ce2NpN4
_cell_length_a 5.9165
_cell_length_b 10.0750
_cell_length_c 3.5579
_cell_angle_alpha 90.00
_cell_angle_beta 90.00
_cell_angle_gamma 90.00
_space_group_name_H-M_alt 'P 1'
_space_group_IT_number 1
_space_group_name_Hall 'P 1'
loop_
_atom_site_label
_atom_site_type_symbol
_atom_site_fract_x
_atom_site_fract_y
_atom_site_fract_z
Ce1 Ce 0.0577 0.1742 0.0000
Ce2 Ce 0.4423 0.6742 0.0000
Ce3 Ce 0.5577 0.3258 0.0000
Ce4 Ce 0.9423 0.8258 0.0000
Np1 Np 0.0000 0.5000 0.5000
Np2 Np 0.5000 0.0000 0.5000
N1 N 0.1454 0.6903 0.5000
N2 N 0.2376 0.4605 0.0000
N3 N 0.2624 0.9605 0.0000
N4 N 0.3546 0.1903 0.5000
N5 N 0.6454 0.8097 0.5000
N6 N 0.7376 0.0395 0.0000
N7 N 0.7624 0.5395 0.0000
N8 N 0.8546 0.3097 0.5000
```


Entry 10:
TlSi2RuPt | GGA-PBE | relaxed

Properties
Spin magnetization: 0.000 μB/f.u.
ρ: 8.7 Mg/m³
V: 21.3 Å³/atom
Total DFT energy (no corrections): -5.230 eV per atom
Space group: P4/mmm

```
data_TlSi2RuPt
_cell_length_a 4.4968
_cell_length_b 4.4968
_cell_length_c 5.2742
_cell_angle_alpha 90.00
_cell_angle_beta 90.00
_cell_angle_gamma 90.00
_space_group_name_H-M_alt 'P 1'
_space_group_IT_number 1
_space_group_name_Hall 'P 1'
loop_
_atom_site_label
_atom_site_type_symbol
_atom_site_fract_x
_atom_site_fract_y
_atom_site_fract_z
Tl1 Tl 0.0000 0.0000 0.0000
Si1 Si 0.0000 0.5000 0.5000
Si2 Si 0.5000 0.0000 0.5000
Ru1 Ru 0.0000 0.0000 0.5000
Pt1 Pt 0.5000 0.5000 0.0000
```


Entry 11:
TlCu3F9 | GGA-PBE | relaxed

Properties
Spin magnetization: 0.002 μB/f.u.
ρ: 5.2 Mg/m³
V: 13.9 Å³/atom
Total DFT energy (no corrections): -3.949 eV per atom
Space group: P6/mmm

```
data_TlCu3F9
_cell_length_a 7.3759
_cell_length_b 7.3759
_cell_length_c 3.8352
_cell_angle_alpha 90.00
_cell_angle_beta 90.00
_cell_angle_gamma 120.00
_space_group_name_H-M_alt 'P 1'
_space_group_IT_number 1
_space_group_name_Hall 'P 1'
loop_
_atom_site_label
_atom_site_type_symbol
_atom_site_fract_x
_atom_site_fract_y
_atom_site_fract_z
Tl1 Tl 0.0000 0.0000 0.0000
Cu1 Cu 0.0000 0.5000 0.5000
Cu2 Cu 0.5000 0.0000 0.5000
Cu3 Cu 0.5000 0.5000 0.5000
F1 F 0.0000 0.5000 0.0000
F2 F 0.2045 0.4089 0.5000
F3 F 0.2045 0.7955 0.5000
F4 F 0.4089 0.2045 0.5000
F5 F 0.5000 0.0000 0.0000
F6 F 0.5000 0.5000 0.0000
F7 F 0.5911 0.7955 0.5000
F8 F 0.7955 0.2045 0.5000
F9 F 0.7955 0.5911 0.5000
```


Entry 12:
La2TmSi | GGA-PBE | relaxed

Properties
Spin magnetization: 0.000 μB/f.u.
ρ: 7.3 Mg/m³
V: 27.1 Å³/atom
Total DFT energy (no corrections): -5.191 eV per atom
Space group: P4/mmm

```
data_La2TmSi
_cell_length_a 4.7114
_cell_length_b 4.7114
_cell_length_c 4.8772
_cell_angle_alpha 90.00
_cell_angle_beta 90.00
_cell_angle_gamma 90.00
_space_group_name_H-M_alt 'P 1'
_space_group_IT_number 1
_space_group_name_Hall 'P 1'
loop_
_atom_site_label
_atom_site_type_symbol
_atom_site_fract_x
_atom_site_fract_y
_atom_site_fract_z
La1 La 0.0000 0.5000 0.0000
La2 La 0.5000 0.0000 0.0000
Tm1 Tm 0.0000 0.0000 0.5000
Si1 Si 0.5000 0.5000 0.5000
```


Entry 13:
Th2MgRu | GGA-PBE | relaxed

Properties
Spin magnetization: 0.000 μB/f.u.
ρ: 9.6 Mg/m³
V: 25.4 Å³/atom
Space group: P4/mmm
DFT formation energy: -0.15 eV per atom

```
data_Th2MgRu
_cell_length_a 3.6477
_cell_length_b 3.6477
_cell_length_c 7.6420
_cell_angle_alpha 90.00
_cell_angle_beta 90.00
_cell_angle_gamma 90.00
_space_group_name_H-M_alt 'P 1'
_space_group_IT_number 1
_space_group_name_Hall 'P 1'
loop_
_atom_site_label
_atom_site_type_symbol
_atom_site_fract_x
_atom_site_fract_y
_atom_site_fract_z
Th1 Th 0.0000 0.0000 0.2163
Th2 Th 0.0000 0.0000 0.7837
Mg1 Mg 0.5000 0.5000 0.5000
Ru1 Ru 0.5000 0.5000 0.0000
```


Entry 14:
Rb5NpO6 | GGA-PBE | relaxed

Properties
Spin magnetization: 0.000 μB/f.u.
ρ: 4.9 Mg/m³
V: 21.3 Å³/atom
Total DFT energy (no corrections): -5.964 eV per atom
Space group: C2/m

```
data_Rb5NpO6
_cell_length_a 6.8401
_cell_length_b 6.8401
_cell_length_c 6.7163
_cell_angle_alpha 100.13
_cell_angle_beta 100.13
_cell_angle_gamma 119.61
_space_group_name_H-M_alt 'P 1'
_space_group_IT_number 1
_space_group_name_Hall 'P 1'
loop_
_atom_site_label
_atom_site_type_symbol
_atom_site_fract_x
_atom_site_fract_y
_atom_site_fract_z
Rb1 Rb 0.0000 0.0000 0.0000
Rb2 Rb 0.1666 0.8334 0.5000
Rb3 Rb 0.3359 0.6641 0.0000
Rb4 Rb 0.6641 0.3359 0.0000
Rb5 Rb 0.8334 0.1666 0.5000
Np1 Np 0.5000 0.5000 0.5000
O1 O 0.1926 0.4367 0.3077
O2 O 0.3211 0.3211 0.6877
O3 O 0.4367 0.1926 0.3077
O4 O 0.5633 0.8074 0.6923
O5 O 0.6789 0.6789 0.3123
O6 O 0.8074 0.5633 0.6923
```


Entry 15:
MgTcP2 | GGA-PBE | relaxed

Properties
Spin magnetization: 0.000 μB/f.u.
ρ: 5.2 Mg/m³
V: 14.8 Å³/atom
Space group: P4/mmm
DFT formation energy: -0.29 eV per atom

```
data_MgTcP2
_cell_length_a 3.0063
_cell_length_b 3.0063
_cell_length_c 6.5625
_cell_angle_alpha 90.00
_cell_angle_beta 90.00
_cell_angle_gamma 90.00
_space_group_name_H-M_alt 'P 1'
_space_group_IT_number 1
_space_group_name_Hall 'P 1'
loop_
_atom_site_label
_atom_site_type_symbol
_atom_site_fract_x
_atom_site_fract_y
_atom_site_fract_z
Mg1 Mg 0.0000 0.0000 0.0000
Tc1 Tc 0.0000 0.0000 0.5000
P1 P 0.5000 0.5000 0.2843
P2 P 0.5000 0.5000 0.7157
```


Entry 16:
Mn2GaH | GGA-PBE | relaxed

Properties
Spin magnetization: 3.194 μB/f.u.
ρ: 7.4 Mg/m³
V: 10.1 Å³/atom
Total DFT energy (no corrections): -6.076 eV per atom
Space group: Immm

```
data_Mn2GaH
_cell_length_a 4.3423
_cell_length_b 4.3423
_cell_length_c 4.3423
_cell_angle_alpha 145.25
_cell_angle_beta 118.14
_cell_angle_gamma 72.94
_space_group_name_H-M_alt 'P 1'
_space_group_IT_number 1
_space_group_name_Hall 'P 1'
loop_
_atom_site_label
_atom_site_type_symbol
_atom_site_fract_x
_atom_site_fract_y
_atom_site_fract_z
Mn1 Mn 0.1823 0.1823 0.0000
Mn2 Mn 0.8177 0.8177 0.0000
Ga1 Ga 0.5000 0.0000 0.5000
H1 H 0.0000 0.5000 0.5000
```


Entry 17:
Na3Cd2Hg8 | GGA-PBE | relaxed

Properties
Spin magnetization: 0.000 μB/f.u.
ρ: 8.6 Mg/m³
V: 28.1 Å³/atom
Space group: R-3m
DFT formation energy: -0.08 eV per atom

```
data_Na3Cd2Hg8
_cell_length_a 11.8695
_cell_length_b 11.8695
_cell_length_c 11.8695
_cell_angle_alpha 29.79
_cell_angle_beta 29.79
_cell_angle_gamma 29.79
_space_group_name_H-M_alt 'P 1'
_space_group_IT_number 1
_space_group_name_Hall 'P 1'
loop_
_atom_site_label
_atom_site_type_symbol
_atom_site_fract_x
_atom_site_fract_y
_atom_site_fract_z
Na1 Na 0.0000 0.0000 0.0000
Na2 Na 0.1879 0.1879 0.1879
Na3 Na 0.8121 0.8121 0.8121
Cd1 Cd 0.3654 0.3654 0.3654
Cd2 Cd 0.6346 0.6346 0.6346
Hg1 Hg 0.2242 0.7271 0.7272
Hg2 Hg 0.2728 0.2729 0.7758
Hg3 Hg 0.2728 0.7758 0.2728
Hg4 Hg 0.2811 0.2811 0.2811
Hg5 Hg 0.7189 0.7189 0.7189
Hg6 Hg 0.7271 0.2242 0.7271
Hg7 Hg 0.7271 0.7271 0.2242
Hg8 Hg 0.7758 0.2728 0.2729
```


Entry 18:
Ba2GeP | GGA-PBE | relaxed

Properties
Spin magnetization: 0.000 μB/f.u.
ρ: 4.9 Mg/m³
V: 32.0 Å³/atom
Space group: Fm-3m
DFT formation energy: -0.41 eV per atom

```
data_Ba2GeP
_cell_length_a 5.6542
_cell_length_b 5.6542
_cell_length_c 5.6542
_cell_angle_alpha 60.00
_cell_angle_beta 60.00
_cell_angle_gamma 60.00
_space_group_name_H-M_alt 'P 1'
_space_group_IT_number 1
_space_group_name_Hall 'P 1'
loop_
_atom_site_label
_atom_site_type_symbol
_atom_site_fract_x
_atom_site_fract_y
_atom_site_fract_z
Ba1 Ba 0.2500 0.2500 0.2500
Ba2 Ba 0.7500 0.7500 0.7500
Ge1 Ge 0.0000 0.0000 0.0000
P1 P 0.5000 0.5000 0.5000
```


Entry 19:
CrNi2Cl | GGA-PBE | relaxed

Properties
Spin magnetization: 0.487 μB/f.u.
ρ: 6.6 Mg/m³
V: 12.8 Å³/atom
Total DFT energy (no corrections): -5.418 eV per atom
Space group: P4mm

```
data_CrNi2Cl
_cell_length_a 2.8018
_cell_length_b 2.8018
_cell_length_c 6.5328
_cell_angle_alpha 90.00
_cell_angle_beta 90.00
_cell_angle_gamma 90.00
_space_group_name_H-M_alt 'P 1'
_space_group_IT_number 1
_space_group_name_Hall 'P 1'
loop_
_atom_site_label
_atom_site_type_symbol
_atom_site_fract_x
_atom_site_fract_y
_atom_site_fract_z
Cr1 Cr 0.0000 0.0000 0.0000
Ni1 Ni 0.0000 0.0000 0.4416
Ni2 Ni 0.5000 0.5000 0.2201
Cl1 Cl 0.5000 0.5000 0.7675
```


Entry 20:
Sr2GaTe5Pb | GGA-PBE | relaxed

Properties
Spin magnetization: 0.000 μB/f.u.
ρ: 5.8 Mg/m³
V: 34.5 Å³/atom
Total DFT energy (no corrections): -3.755 eV per atom
Space group: Cmc2_1

```
data_Sr2GaTe5Pb
_cell_length_a 10.6824
_cell_length_b 10.6824
_cell_length_c 13.4785
_cell_angle_alpha 90.00
_cell_angle_beta 90.00
_cell_angle_gamma 156.20
_space_group_name_H-M_alt 'P 1'
_space_group_IT_number 1
_space_group_name_Hall 'P 1'
loop_
_atom_site_label
_atom_site_type_symbol
_atom_site_fract_x
_atom_site_fract_y
_atom_site_fract_z
Sr1 Sr 0.1097 0.8903 0.5000
Sr2 Sr 0.1190 0.8810 0.1323
Sr3 Sr 0.8810 0.1190 0.6323
Sr4 Sr 0.8903 0.1097 0.0000
Ga1 Ga 0.4348 0.5652 0.2641
Ga2 Ga 0.5652 0.4348 0.7641
Te1 Te 0.0470 0.9530 0.8786
Te2 Te 0.2770 0.7230 0.5166
Te3 Te 0.3163 0.6837 0.1806
Te4 Te 0.3630 0.6370 0.8196
Te5 Te 0.4993 0.5007 0.0961
Te6 Te 0.5007 0.4993 0.5961
Te7 Te 0.6370 0.3630 0.3196
Te8 Te 0.6837 0.3163 0.6806
Te9 Te 0.7230 0.2770 0.0166
Te10 Te 0.9530 0.0470 0.3786
Pb1 Pb 0.2197 0.7803 0.8512
Pb2 Pb 0.7803 0.2197 0.3512
```